Entry 1:
The following is a DFT calculation (PBE-GGA) of a relaxed structure of YP2AuO.

Calculated values
* E above lowest polymorph: 0 meV/atom
* formation energy (no corrections): -0.065 eV per atom
* theoretical density: 6.28 Mg/m³

```
YP2AuO
1.0
-3.2140 0.0110 3.6064
-3.6014 -0.2650 -3.2087
0.1625 -4.1139 0.1574
O Au Y P
1 1 1 2
Direct
0.0000 0.0000 0.5000
0.0000 0.0000 0.0000
0.5000 0.5000 0.5000
0.5000 0.0000 0.0000
0.0000 0.5000 0.0000
```



Entry 2:
The following is a DFT calculation (PBE-GGA) of a relaxed structure of Sr2DySb3Pt4.

Calculated values
* formation energy (no corrections): -0.900 eV per atom
* theoretical density: 10.14 Mg/m³

```
Sr2DySb3Pt4
1.0
4.6225 0.0000 0.0000
0.0000 4.6225 0.0000
0.0000 0.0000 11.3637
Sb Dy Pt Sr
3 1 4 2
Direct
0.0000 0.0000 0.5000
0.5000 0.0000 0.8753
0.0000 0.5000 0.1247
0.5000 0.5000 0.5000
0.0000 0.0000 0.0000
0.5000 0.0000 0.6428
0.0000 0.5000 0.3572
0.5000 0.5000 0.0000
0.5000 0.0000 0.2265
0.0000 0.5000 0.7735
```



Entry 3:
The following is a DFT calculation (PBE-GGA) of a relaxed structure of Pu2VOs.

Calculated values
* ΔE_f: 0.34 eV per atom
* theoretical density: 18.79 Mg/m³

```
Pu2VOs
1.0
-0.8263 -5.0936 0.6061
1.7188 0.0868 3.0723
-3.0221 0.6891 1.6713
Pu V Os
2 1 1
Direct
0.0000 0.5000 0.0000
0.0000 0.0000 0.5000
0.5000 0.0000 0.0000
0.5000 0.5000 0.5000
```